1.
This record from the Alexandria database describes a relaxed ReRuC2 crystal. The functional is PBE.

The calculation puts the formation energy at 0.592 eV per atom. For the energy above the most stable polymorph in this dataset, the calculation gives 0.307 eV/atom.

Unit cell a=5.0198 b=3.0062 c=6.1471 alpha=90.00 beta=90.07 gamma=90.00
Sites, in units of the cell vectors:
Re  0.6612  0.5000  0.5478
C  0.5258  0.0000  0.3536
C  0.0243  0.5000  0.6872
Ru  0.1552  0.5000  0.9954
C  0.5258  0.5000  0.8536
C  0.0243  0.0000  0.1872
Re  0.6612  0.0000  0.0478
Ru  0.1552  0.0000  0.4954

2.
This record from the Alexandria database describes a relaxed ReRuC2 crystal. The functional is PBE.

The calculation puts the formation energy at 1.159 eV per atom. For the energy above the most stable polymorph in this dataset, the calculation gives 0.874 eV/atom.

Unit cell a=3.7981 b=3.7981 c=3.7981 alpha=60.00 beta=60.00 gamma=60.00
Sites, in units of the cell vectors:
C  0.7500  0.7500  0.7500
C  0.2500  0.2500  0.2500
Re  0.5000  0.5000  0.5000
Ru  0.0000  0.0000  0.0000

3.
This record from the Alexandria database describes a relaxed ReRuC2 crystal. The functional is PBE.

The calculation puts the formation energy at 0.600 eV per atom. For the energy above the most stable polymorph in this dataset, the calculation gives 0.315 eV/atom.

Unit cell a=4.2358 b=3.5782 c=6.1192 alpha=90.00 beta=90.00 gamma=90.00
Sites, in units of the cell vectors:
C  0.5000  0.0000  0.3080
Ru  0.0000  0.5000  0.8915
C  0.5000  0.5000  0.8080
C  0.0000  0.0000  0.0495
Re  0.5000  0.0000  0.9691
C  0.0000  0.5000  0.5495
Ru  0.0000  0.0000  0.3915
Re  0.5000  0.5000  0.4691

4.
This record from the Alexandria database describes a relaxed ReRuC2 crystal. The functional is PBE.

The calculation puts the formation energy at 0.378 eV per atom. For the energy above the most stable polymorph in this dataset, the calculation gives 0.093 eV/atom.

Unit cell a=2.7893 b=2.7893 c=6.4396 alpha=90.00 beta=90.00 gamma=120.00
Sites, in units of the cell vectors:
C  0.3333  0.6667  0.2648
C  0.3333  0.6667  0.0471
Re  0.0000  0.0000  0.4728
Ru  0.6667  0.3333  0.8487